Cs2MnN: single point on PBEsol structure, meta-GGA SCAN.

```
Cs2MnN
1.0
5.549 0.000 0.000
2.775 4.806 0.000
2.775 1.602 4.531
N Cs Mn
1 2 1
Direct
0.000 0.000 0.000 N
0.250 0.250 0.250 Cs
0.750 0.750 0.750 Cs
0.500 0.500 0.500 Mn
```

Values from the calculation:
Magnetization = 6.00 μB/f.u.
Raw formation energy = 1.220 eV per atom